Entry 1:
Density functional theory data (PBE) for a relaxed structure of Th4GeAu.

- Final energy: -40.4 eV/f.u.
- Symmetry: P4/mcc, No. 124

Cell and atoms, written as extended XYZ:
```
12
Lattice="7.5039 0.0000 0.0000 0.0000 7.5039 0.0000 0.0000 0.0000 5.9403" Properties=species:S:1:pos:R:3 pbc="T T T"
Th 1.1729 2.5300 0.0000
Th 1.1729 4.9740 2.9701
Th 2.5300 1.1729 2.9701
Th 2.5300 6.3311 0.0000
Th 4.9740 1.1729 0.0000
Th 4.9740 6.3311 2.9701
Th 6.3311 2.5300 2.9701
Th 6.3311 4.9740 0.0000
Ge 0.0000 0.0000 1.4851
Ge 0.0000 0.0000 4.4552
Au 3.7520 3.7520 1.4851
Au 3.7520 3.7520 4.4552
```

Entry 2:
Density functional theory data (PBE) for a relaxed structure of La4Pr5Hg4.

- Final energy: -48.8 eV/f.u.
- Symmetry: I4/m, No. 87

Cell and atoms, written as extended XYZ:
```
13
Lattice="-6.2441 6.2441 2.7042 6.2441 -6.2441 2.7042 6.2441 6.2441 -2.7042" Properties=species:S:1:pos:R:3 pbc="T T T"
La 7.6699 1.2372 0.0000
La 1.2372 4.8183 0.0000
La 5.0069 1.4258 2.7042
La -1.4258 5.0069 2.7042
Pr 0.0000 0.0000 0.0000
Pr 4.8045 3.9528 0.0000
Pr 2.2913 -1.4396 2.7042
Pr 3.9528 7.6837 0.0000
Pr 1.4396 2.2913 2.7042
Hg 2.9166 1.2908 0.0000
Hg 4.9533 -3.3275 2.7042
Hg 1.2908 9.5716 0.0000
Hg 3.3275 4.9533 2.7042
```

Entry 3:
Density functional theory data (PBE) for a relaxed structure of SmAlSi2Ni5.

- Uncorrected formation energy: -0.316 eV/atom
- Symmetry: P4/mmm, No. 123

Cell and atoms, written as extended XYZ:
```
9
Lattice="3.7774 0.0000 0.0000 0.0000 3.7774 0.0000 0.0000 0.0000 9.9126" Properties=species:S:1:pos:R:3 pbc="T T T"
Sm 0.0000 0.0000 0.0000
Al 0.0000 0.0000 4.9563
Si 1.8887 1.8887 2.2007
Si 1.8887 1.8887 7.7118
Ni 0.0000 1.8887 3.4475
Ni 0.0000 1.8887 6.4651
Ni 1.8887 0.0000 3.4475
Ni 1.8887 0.0000 6.4651
Ni 1.8887 1.8887 0.0000
```

Entry 4:
Density functional theory data (PBE) for a relaxed structure of LiSm2Zn3Ga4.

- Final energy: -31.8 eV/f.u.
- Symmetry: P-4m2, No. 115

Cell and atoms, written as extended XYZ:
```
10
Lattice="4.2328 0.0000 0.0000 0.0000 4.2328 0.0000 0.0000 0.0000 10.6297" Properties=species:S:1:pos:R:3 pbc="T T T"
Li 0.0000 0.0000 0.0000
Sm 0.0000 2.1164 7.9417
Sm 2.1164 0.0000 2.6881
Zn 0.0000 2.1164 3.8412
Zn 2.1164 0.0000 6.7886
Zn 2.1164 2.1164 0.0000
Ga 0.0000 0.0000 5.3149
Ga 0.0000 2.1164 1.4012
Ga 2.1164 0.0000 9.2285
Ga 2.1164 2.1164 5.3149
```

Entry 5:
Density functional theory data (PBE) for a relaxed structure of RhAuS2.

- Uncorrected formation energy: -0.111 eV/atom
- Symmetry: C2/c, No. 15

Cell and atoms, written as extended XYZ:
```
32
Lattice="5.9893 -4.8800 0.0000 5.9893 4.8800 0.0000 -5.4885 0.0000 10.8511" Properties=species:S:1:pos:R:3 pbc="T T T"
Rh -2.8711 0.9181 9.7606
Rh 0.3002 2.7843 8.3344
Rh -0.1269 -0.9181 4.3351
Rh 3.4458 2.7843 7.9423
Rh 3.0444 -2.7843 2.9088
Rh 6.6171 0.9181 6.5160
Rh 6.1900 -2.7843 2.5167
Rh 9.3613 -0.9181 1.0905
Au -1.1184 1.0882 6.5604
Au 1.6259 -1.0882 1.1348
Au 4.6974 0.5554 0.9038
Au 1.9531 -0.5554 6.3294
Au 4.5371 0.5554 4.5217
Au 1.7928 -0.5554 9.9473
Au 4.8643 1.0882 9.7163
Au 7.6086 -1.0882 4.2908
S 1.6858 3.6512 6.6117
S -1.0671 2.3551 10.2545
S 4.6172 2.9796 2.7128
S 2.0601 3.6512 9.6650
S 1.4189 0.2258 3.0404
S -1.3253 -0.2258 8.4659
S 1.8730 0.9457 8.1383
S 4.8131 2.3551 6.0221
S 1.6771 -2.3551 4.8290
S 4.6172 -0.9457 2.7128
S 7.8155 0.2258 2.3852
S 5.0712 -0.2258 7.8107
S 4.4300 -3.6512 1.1861
S 1.8730 -2.9796 8.1383
S 7.5573 -2.3551 0.5966
S 4.8044 -3.6512 4.2395
```

Entry 6:
Density functional theory data (PBE) for a relaxed structure of KPrAs.

- Final energy: -12.3 eV/f.u.
- Symmetry: R-3m, No. 166

Cell and atoms, written as extended XYZ:
```
6
Lattice="2.2915 1.3230 14.0368 -2.2915 1.3230 14.0368 0.0000 -2.6460 14.0368" Properties=species:S:1:pos:R:3 pbc="T T T"
K 0.0000 0.0000 9.2488
K 0.0000 0.0000 32.8617
Pr 0.0000 0.0000 15.5153
Pr 0.0000 0.0000 26.5952
As 0.0000 0.0000 2.6480
As 0.0000 0.0000 39.4625
```

Here are the calculated theoretical density numbers, same order: 11.89; 8.12; 6.19; 6.83; 7.62; 3.32 (Mg/m³).